No. 1
A plane-wave DFT calculation with GGA-PBE was carried out for Hf3ZnPt12 after structural relaxation.

CIF file:
```
data_Hf3ZnPt12
_chemical_formula_sum 'Hf3 Zn1 Pt12'
_cell_length_a 4.0097
_cell_length_b 4.0097
_cell_length_c 16.0114
_cell_angle_alpha 90.00
_cell_angle_beta 90.00
_cell_angle_gamma 90.00
_space_group_name_H-M_alt 'P 4/m m m'
_space_group_IT_number 123
_space_group_name_Hall '-P 4 2'
loop_
_atom_site_label
_atom_site_type_symbol
_atom_site_fract_x
_atom_site_fract_y
_atom_site_fract_z
Hf1 Hf 0.0000 0.0000 0.0000
Hf2 Hf 0.0000 0.0000 0.2570
Zn1 Zn 0.0000 0.0000 0.5000
Pt1 Pt 0.0000 0.5000 0.1261
Pt2 Pt 0.0000 0.5000 0.3777
Pt3 Pt 0.5000 0.5000 0.0000
Pt4 Pt 0.5000 0.5000 0.2518
Pt5 Pt 0.5000 0.5000 0.5000
```

Values from the calculation:
- Size of the total moment: 0.000 μB per atom
- Energy of formation from the pure elements: -0.94 eV/atom

---

No. 2
A plane-wave DFT calculation with GGA-PBE was carried out for NbOs3W after structural relaxation.

CIF file:
```
data_NbOs3W
_chemical_formula_sum 'Nb1 Os3 W1'
_cell_length_a 4.6712
_cell_length_b 4.6712
_cell_length_c 4.6712
_cell_angle_alpha 90.00
_cell_angle_beta 90.00
_cell_angle_gamma 90.00
_space_group_name_H-M_alt 'P m -3 m'
_space_group_IT_number 221
_space_group_name_Hall '-P 4 2 3'
loop_
_atom_site_label
_atom_site_type_symbol
_atom_site_fract_x
_atom_site_fract_y
_atom_site_fract_z
Nb1 Nb 0.0000 0.0000 0.0000
Os1 Os 0.0000 0.5000 0.5000
W1 W 0.5000 0.5000 0.5000
```

Values from the calculation:
- Size of the total moment: 0.000 μB per atom
- Energy of formation from the pure elements: 2.06 eV/atom

---

No. 3
A plane-wave DFT calculation with GGA-PBE was carried out for CaPuHg after structural relaxation.

CIF file:
```
data_CaPuHg
_chemical_formula_sum 'Ca4 Pu4 Hg4'
_cell_length_a 15.5003
_cell_length_b 3.3110
_cell_length_c 7.3242
_cell_angle_alpha 90.00
_cell_angle_beta 101.41
_cell_angle_gamma 90.00
_space_group_name_H-M_alt 'C 1 2/m 1'
_space_group_IT_number 12
loop_
_space_group_symop_operation_xyz
'x,y,z'
'-x,-y,-z'
'-x,y,-z'
'x,-y,z'
'x+1/2,y+1/2,z'
'-x+1/2,-y+1/2,-z'
'-x+1/2,y+1/2,-z'
'x+1/2,-y+1/2,z'
loop_
_atom_site_label
_atom_site_type_symbol
_atom_site_fract_x
_atom_site_fract_y
_atom_site_fract_z
Ca1 Ca 0.1176 0.0000 0.4354
Pu1 Pu 0.0811 0.0000 0.9149
Hg1 Hg 0.2310 0.5000 0.1966
```

Values from the calculation:
- Size of the total moment: 2.096 μB per atom
- Energy of formation from the pure elements: 0.13 eV/atom

---

No. 4
A plane-wave DFT calculation with GGA-PBE was carried out for ReP3W after structural relaxation.

CIF file:
```
data_ReP3W
_chemical_formula_sum 'Re1 P3 W1'
_cell_length_a 4.5971
_cell_length_b 4.5971
_cell_length_c 4.5971
_cell_angle_alpha 90.00
_cell_angle_beta 90.00
_cell_angle_gamma 90.00
_space_group_name_H-M_alt 'P m -3 m'
_space_group_IT_number 221
_space_group_name_Hall '-P 4 2 3'
loop_
_atom_site_label
_atom_site_type_symbol
_atom_site_fract_x
_atom_site_fract_y
_atom_site_fract_z
Re1 Re 0.0000 0.0000 0.0000
P1 P 0.0000 0.0000 0.5000
W1 W 0.5000 0.5000 0.5000
```

Values from the calculation:
- Size of the total moment: 0.634 μB per atom
- Energy of formation from the pure elements: 1.37 eV/atom

---

No. 5
A plane-wave DFT calculation with GGA-PBE was carried out for YPu2CrC4 after structural relaxation.

CIF file:
```
data_YPu2CrC4
_chemical_formula_sum 'Y4 Pu8 Cr4 C16'
_cell_length_a 3.4961
_cell_length_b 11.2650
_cell_length_c 12.0011
_cell_angle_alpha 90.00
_cell_angle_beta 90.00
_cell_angle_gamma 90.00
_space_group_name_H-M_alt 'C m c m'
_space_group_IT_number 63
_space_group_name_Hall '-C 2c 2'
loop_
_atom_site_label
_atom_site_type_symbol
_atom_site_fract_x
_atom_site_fract_y
_atom_site_fract_z
Y1 Y 0.0000 0.1076 0.2500
Pu1 Pu 0.0000 0.3690 0.0440
Cr1 Cr 0.0000 0.1631 0.7500
C1 C 0.0000 0.0000 0.0000
C2 C 0.0000 0.2632 0.6304
C3 C 0.0000 0.4204 0.2500
```

Values from the calculation:
- Size of the total moment: 1.123 μB per atom
- Energy of formation from the pure elements: 0.03 eV/atom

---

No. 6
A plane-wave DFT calculation with GGA-PBE was carried out for Tm4Ir2Pd after structural relaxation.

CIF file:
```
data_Tm4Ir2Pd
_chemical_formula_sum 'Tm12 Ir6 Pd3'
_cell_length_a 4.7864
_cell_length_b 4.7864
_cell_length_c 23.3415
_cell_angle_alpha 90.00
_cell_angle_beta 90.00
_cell_angle_gamma 120.00
_space_group_name_H-M_alt 'R -3 m'
_space_group_IT_number 166
_space_group_name_Hall '-R 3 2"'
loop_
_atom_site_label
_atom_site_type_symbol
_atom_site_fract_x
_atom_site_fract_y
_atom_site_fract_z
Tm1 Tm 0.0000 0.0000 0.1225
Tm2 Tm 0.0000 0.0000 0.3730
Ir1 Ir 0.0000 0.0000 0.2495
Pd1 Pd 0.0000 0.0000 0.5000
```

Values from the calculation:
- Size of the total moment: 0.000 μB per atom
- Energy of formation from the pure elements: -0.92 eV/atom

---

No. 7
A plane-wave DFT calculation with GGA-PBE was carried out for YMg2Os2 after structural relaxation.

CIF file:
```
data_YMg2Os2
_chemical_formula_sum 'Y2 Mg4 Os4'
_cell_length_a 4.2414
_cell_length_b 4.2414
_cell_length_c 11.3825
_cell_angle_alpha 90.00
_cell_angle_beta 90.00
_cell_angle_gamma 90.00
_space_group_name_H-M_alt 'I 4/m m m'
_space_group_IT_number 139
_space_group_name_Hall '-I 4 2'
loop_
_atom_site_label
_atom_site_type_symbol
_atom_site_fract_x
_atom_site_fract_y
_atom_site_fract_z
Y1 Y 0.0000 0.0000 0.0000
Mg1 Mg 0.0000 0.5000 0.2500
Os1 Os 0.0000 0.0000 0.3978
```

Values from the calculation:
- Size of the total moment: 0.159 μB per atom
- Energy of formation from the pure elements: 0.23 eV/atom

---

No. 8
A plane-wave DFT calculation with GGA-PBE was carried out for Nd2B3C after structural relaxation.

CIF file:
```
data_Nd2B3C
_chemical_formula_sum 'Nd16 B24 C8'
_cell_length_a 6.3872
_cell_length_b 8.4974
_cell_length_c 11.0962
_cell_angle_alpha 90.00
_cell_angle_beta 90.00
_cell_angle_gamma 90.00
_space_group_name_H-M_alt 'F m m m'
_space_group_IT_number 69
_space_group_name_Hall '-F 2 2'
loop_
_atom_site_label
_atom_site_type_symbol
_atom_site_fract_x
_atom_site_fract_y
_atom_site_fract_z
Nd1 Nd 0.0000 0.2442 0.0000
Nd2 Nd 0.2500 0.2500 0.2500
B1 B 0.0000 0.0000 0.1750
B2 B 0.2359 0.0000 0.4120
C1 C 0.0000 0.0000 0.3336
```

Values from the calculation:
- Size of the total moment: 0.000 μB per atom
- Energy of formation from the pure elements: -0.24 eV/atom

---

What did the second record say?
A plane-wave DFT calculation with GGA-PBE was carried out for NbOs3W after structural relaxation.

CIF file:
```
data_NbOs3W
_chemical_formula_sum 'Nb1 Os3 W1'
_cell_length_a 4.6712
_cell_length_b 4.6712
_cell_length_c 4.6712
_cell_angle_alpha 90.00
_cell_angle_beta 90.00
_cell_angle_gamma 90.00
_space_group_name_H-M_alt 'P m -3 m'
_space_group_IT_number 221
_space_group_name_Hall '-P 4 2 3'
loop_
_atom_site_label
_atom_site_type_symbol
_atom_site_fract_x
_atom_site_fract_y
_atom_site_fract_z
Nb1 Nb 0.0000 0.0000 0.0000
Os1 Os 0.0000 0.5000 0.5000
W1 W 0.5000 0.5000 0.5000
```

Values from the calculation:
- Size of the total moment: 0.000 μB per atom
- Energy of formation from the pure elements: 2.06 eV/atom

---

Among the records above, which one has the highest size of the total moment? CaPuHg

---

The highest energy of formation from the pure elements belongs to which entry? NbOs3W